1.
## SmAl3Co (PBE)

Data for a relaxed SmAl3Co crystal.

a = 4.5342 Å, b = 4.5342 Å, c = 4.5342 Å
α = 90.00°, β = 90.00°, γ = 90.00°
Positions (direct):
Sm (0.0000, 0.0000, 0.0000)
Al (0.0000, 0.5000, 0.5000)
Al (0.5000, 0.0000, 0.5000)
Al (0.5000, 0.5000, 0.0000)
Co (0.5000, 0.5000, 0.5000)

Computed properties:
Relative energy among the computed polymorphs, meV/atom: 135
Crystal system: cubic


2.
## Sm5AlCo2 (PBE)

Data for a relaxed Sm5AlCo2 crystal.

a = 8.6511 Å, b = 8.6511 Å, c = 8.6511 Å
α = 126.88°, β = 126.88°, γ = 78.45°
Positions (direct):
Sm (0.0000, 0.0000, 0.0000)
Sm (0.0292, 0.5292, 0.8293)
Sm (0.1999, 0.0292, 0.5000)
Sm (0.3001, 0.8001, 0.8293)
Sm (0.4708, 0.3001, 0.5000)
Sm (0.5000, 0.5000, 0.0000)
Sm (0.5292, 0.6999, 0.5000)
Sm (0.6999, 0.1999, 0.1707)
Sm (0.8001, 0.9708, 0.5000)
Sm (0.9708, 0.4708, 0.1707)
Al (0.2500, 0.2500, 0.0000)
Al (0.7500, 0.7500, 0.0000)
Co (0.1258, 0.3742, 0.5000)
Co (0.3742, 0.8742, 0.2483)
Co (0.6258, 0.1258, 0.7517)
Co (0.8742, 0.6258, 0.5000)

Computed properties:
Total DFT energy (no corrections), eV/atom: -5.34
Crystal system: tetragonal


3.
## SmAl2Co9 (PBE)

Data for a relaxed SmAl2Co9 crystal.

a = 8.0895 Å, b = 8.0895 Å, c = 4.7082 Å
α = 90.00°, β = 90.00°, γ = 90.00°
Positions (direct):
Sm (0.0000, 0.0000, 0.0000)
Sm (0.5000, 0.5000, 0.0000)
Al (0.1205, 0.3795, 0.0000)
Al (0.3795, 0.8795, 0.0000)
Al (0.6205, 0.1205, 0.0000)
Al (0.8795, 0.6205, 0.0000)
Co (0.0000, 0.5000, 0.5000)
Co (0.0688, 0.2124, 0.5000)
Co (0.1758, 0.6758, 0.2355)
Co (0.1758, 0.6758, 0.7645)
Co (0.2124, 0.9312, 0.5000)
Co (0.2876, 0.4312, 0.5000)
Co (0.3242, 0.1758, 0.2355)
Co (0.3242, 0.1758, 0.7645)
Co (0.4312, 0.7124, 0.5000)
Co (0.5000, 0.0000, 0.5000)
Co (0.5688, 0.2876, 0.5000)
Co (0.6758, 0.8242, 0.2355)
Co (0.6758, 0.8242, 0.7645)
Co (0.7124, 0.5688, 0.5000)
Co (0.7876, 0.0688, 0.5000)
Co (0.8242, 0.3242, 0.2355)
Co (0.8242, 0.3242, 0.7645)
Co (0.9312, 0.7876, 0.5000)

Computed properties:
Total DFT energy (no corrections), eV/atom: -6.57
Crystal system: tetragonal


4.
## SmAl12Co6 (PBE)

Data for a relaxed SmAl12Co6 crystal.

a = 6.9104 Å, b = 6.9104 Å, c = 6.9104 Å
α = 105.09°, β = 105.09°, γ = 105.09°
Positions (direct):
Sm (0.0000, 0.0000, 0.0000)
Al (0.1216, 0.5000, 0.8784)
Al (0.1216, 0.8784, 0.5000)
Al (0.1546, 0.4243, 0.4243)
Al (0.4243, 0.1546, 0.4243)
Al (0.4243, 0.4243, 0.1546)
Al (0.5000, 0.1216, 0.8784)
Al (0.5000, 0.8784, 0.1216)
Al (0.5757, 0.5757, 0.8454)
Al (0.5757, 0.8454, 0.5757)
Al (0.8454, 0.5757, 0.5757)
Al (0.8784, 0.1216, 0.5000)
Al (0.8784, 0.5000, 0.1216)
Co (0.2655, 0.2655, 0.6826)
Co (0.2655, 0.6826, 0.2655)
Co (0.3174, 0.7345, 0.7345)
Co (0.6826, 0.2655, 0.2655)
Co (0.7345, 0.3174, 0.7345)
Co (0.7345, 0.7345, 0.3174)

Computed properties:
Total DFT energy (no corrections), eV/atom: -5.24
Crystal system: trigonal


5.
## Sm4AlCo2 (PBE)

Data for a relaxed Sm4AlCo2 crystal.

a = 5.3788 Å, b = 12.6535 Å, c = 5.6138 Å
α = 90.00°, β = 110.71°, γ = 90.00°
Positions (direct):
Sm (0.0000, 0.0000, 0.0000)
Sm (0.0000, 0.5000, 0.0000)
Sm (0.3248, 0.2500, 0.7936)
Sm (0.3782, 0.6107, 0.6125)
Sm (0.3782, 0.8893, 0.6125)
Sm (0.6218, 0.1107, 0.3875)
Sm (0.6218, 0.3893, 0.3875)
Sm (0.6752, 0.7500, 0.2064)
Al (0.0341, 0.2500, 0.2066)
Al (0.9659, 0.7500, 0.7934)
Co (0.1455, 0.0822, 0.4792)
Co (0.1455, 0.4178, 0.4792)
Co (0.8545, 0.5822, 0.5208)
Co (0.8545, 0.9178, 0.5208)

Computed properties:
Relative energy among the computed polymorphs, meV/atom: 9
Crystal system: monoclinic


6.
## Sm2Al3Co (PBE)

Data for a relaxed Sm2Al3Co crystal.

a = 5.4411 Å, b = 5.4411 Å, c = 5.4411 Å
α = 61.21°, β = 61.21°, γ = 61.21°
Positions (direct):
Sm (0.1260, 0.1260, 0.1260)
Sm (0.8740, 0.8740, 0.8740)
Al (0.0000, 0.5000, 0.5000)
Al (0.5000, 0.0000, 0.5000)
Al (0.5000, 0.5000, 0.0000)
Co (0.5000, 0.5000, 0.5000)

Computed properties:
Total DFT energy (no corrections), eV/atom: -5.04
Crystal system: trigonal


7.
## Sm2AlCo (PBE)

Data for a relaxed Sm2AlCo crystal.

a = 5.3367 Å, b = 5.3367 Å, c = 5.3367 Å
α = 133.42°, β = 83.20°, γ = 115.54°
Positions (direct):
Sm (0.2150, 0.0000, 0.2150)
Sm (0.7850, 0.0000, 0.7850)
Al (0.5294, 0.5294, 0.0000)
Co (0.7886, 0.2886, 0.5000)

Computed properties:
Relative energy among the computed polymorphs, meV/atom: 35
Crystal system: orthorhombic


8.
## Sm3AlCo (PBE)

Data for a relaxed Sm3AlCo crystal.

a = 5.1846 Å, b = 5.1846 Å, c = 5.1846 Å
α = 90.00°, β = 90.00°, γ = 90.00°
Positions (direct):
Sm (0.0000, 0.0000, 0.5000)
Sm (0.0000, 0.5000, 0.0000)
Sm (0.5000, 0.0000, 0.0000)
Al (0.5000, 0.5000, 0.5000)
Co (0.0000, 0.0000, 0.0000)

Computed properties:
Relative energy among the computed polymorphs, meV/atom: 140
Crystal system: cubic


9.
## Sm2Al2Co15 (PBE)

Data for a relaxed Sm2Al2Co15 crystal.

a = 6.3381 Å, b = 6.3381 Å, c = 6.3381 Å
α = 82.74°, β = 82.74°, γ = 82.74°
Positions (direct):
Sm (0.1476, 0.1476, 0.1476)
Sm (0.8524, 0.8524, 0.8524)
Al (0.3946, 0.3946, 0.3946)
Al (0.6054, 0.6054, 0.6054)
Co (0.0000, 0.5000, 0.5000)
Co (0.1513, 0.1513, 0.6474)
Co (0.1513, 0.6474, 0.1513)
Co (0.2150, 0.5000, 0.7850)
Co (0.2150, 0.7850, 0.5000)
Co (0.3526, 0.8487, 0.8487)
Co (0.5000, 0.0000, 0.5000)
Co (0.5000, 0.2150, 0.7850)
Co (0.5000, 0.5000, 0.0000)
Co (0.5000, 0.7850, 0.2150)
Co (0.6474, 0.1513, 0.1513)
Co (0.7850, 0.2150, 0.5000)
Co (0.7850, 0.5000, 0.2150)
Co (0.8487, 0.3526, 0.8487)
Co (0.8487, 0.8487, 0.3526)

Computed properties:
Total DFT energy (no corrections), eV/atom: -6.64
Crystal system: trigonal


10.
## Sm6AlCo (PBE)

Data for a relaxed Sm6AlCo crystal.

a = 6.4007 Å, b = 6.4007 Å, c = 6.3693 Å
α = 98.35°, β = 98.35°, γ = 105.46°
Positions (direct):
Sm (0.0523, 0.6830, 0.7192)
Sm (0.2829, 0.2829, 0.8569)
Sm (0.3170, 0.9477, 0.2808)
Sm (0.6830, 0.0523, 0.7192)
Sm (0.7171, 0.7171, 0.1431)
Sm (0.9477, 0.3170, 0.2808)
Al (0.5000, 0.5000, 0.5000)
Co (0.0000, 0.0000, 0.0000)

Computed properties:
Total DFT energy (no corrections), eV/atom: -4.86
Crystal system: monoclinic


11.
## Sm2AlCo2 (PBE)

Data for a relaxed Sm2AlCo2 crystal.

a = 5.4976 Å, b = 5.4976 Å, c = 7.6130 Å
α = 101.85°, β = 101.85°, γ = 60.35°
Positions (direct):
Sm (0.0004, 0.2913, 0.1459)
Sm (0.9996, 0.7087, 0.8541)
Sm (0.2913, 0.0004, 0.6459)
Sm (0.7087, 0.9996, 0.3541)
Al (0.3797, 0.6203, 0.2500)
Al (0.6203, 0.3797, 0.7500)
Co (0.2131, 0.5010, 0.4946)
Co (0.4990, 0.7869, 0.0054)
Co (0.5010, 0.2131, 0.9946)
Co (0.7869, 0.4990, 0.5054)

Computed properties:
Total DFT energy (no corrections), eV/atom: -5.79
Crystal system: monoclinic


12.
## Sm3Al3Co2 (PBE)

Data for a relaxed Sm3Al3Co2 crystal.

a = 7.5546 Å, b = 15.0875 Å, c = 5.8512 Å
α = 90.00°, β = 90.00°, γ = 90.00°
Positions (direct):
Sm (0.0310, 0.1073, 0.1046)
Sm (0.0310, 0.3927, 0.1046)
Sm (0.1687, 0.2500, 0.6270)
Sm (0.3313, 0.7500, 0.1270)
Sm (0.4690, 0.6073, 0.6046)
Sm (0.4690, 0.8927, 0.6046)
Sm (0.5310, 0.1073, 0.3954)
Sm (0.5310, 0.3927, 0.3954)
Sm (0.6687, 0.2500, 0.8730)
Sm (0.8313, 0.7500, 0.3730)
Sm (0.9690, 0.6073, 0.8954)
Sm (0.9690, 0.8927, 0.8954)
Al (0.1559, 0.0362, 0.5969)
Al (0.1559, 0.4638, 0.5969)
Al (0.1785, 0.7500, 0.6067)
Al (0.3215, 0.2500, 0.1067)
Al (0.3441, 0.5362, 0.0969)
Al (0.3441, 0.9638, 0.0969)
Al (0.6559, 0.0362, 0.9031)
Al (0.6559, 0.4638, 0.9031)
Al (0.6785, 0.7500, 0.8933)
Al (0.8215, 0.2500, 0.3933)
Al (0.8441, 0.5362, 0.4031)
Al (0.8441, 0.9638, 0.4031)
Co (0.1406, 0.6047, 0.3751)
Co (0.1406, 0.8953, 0.3751)
Co (0.3594, 0.1047, 0.8751)
Co (0.3594, 0.3953, 0.8751)
Co (0.6406, 0.6047, 0.1249)
Co (0.6406, 0.8953, 0.1249)
Co (0.8594, 0.1047, 0.6249)
Co (0.8594, 0.3953, 0.6249)

Computed properties:
Total DFT energy (no corrections), eV/atom: -5.31
Crystal system: orthorhombic


13.
## Sm3AlCo (PBE)

Data for a relaxed Sm3AlCo crystal.

a = 8.0332 Å, b = 8.0332 Å, c = 8.7301 Å
α = 91.56°, β = 91.56°, γ = 27.31°
Positions (direct):
Sm (0.0000, 0.0000, 0.0000)
Sm (0.1539, 0.1539, 0.3569)
Sm (0.3613, 0.3613, 0.2449)
Sm (0.5150, 0.5150, 0.6011)
Sm (0.7006, 0.7006, 0.0210)
Sm (0.8144, 0.8144, 0.5807)
Al (0.1719, 0.1719, 0.7324)
Al (0.3431, 0.3431, 0.8691)
Co (0.5392, 0.5392, 0.2417)
Co (0.9763, 0.9763, 0.3588)

Computed properties:
Relative energy among the computed polymorphs, meV/atom: 0
Crystal system: monoclinic


14.
## SmAlCo2 (PBE)

Data for a relaxed SmAlCo2 crystal.

a = 5.3453 Å, b = 5.3453 Å, c = 5.3453 Å
α = 45.90°, β = 45.90°, γ = 45.90°
Positions (direct):
Sm (0.0000, 0.0000, 0.0000)
Al (0.5000, 0.5000, 0.5000)
Co (0.1892, 0.1892, 0.1892)
Co (0.8108, 0.8108, 0.8108)

Computed properties:
Total DFT energy (no corrections), eV/atom: -5.94
Crystal system: trigonal


15.
## AlCoSn (PBE)

Data for a relaxed AlCoSn crystal.

a = 4.1045 Å, b = 2.9529 Å, c = 8.4582 Å
α = 90.00°, β = 90.00°, γ = 90.00°
Positions (direct):
Al (0.2500, 0.0000, 0.1107)
Al (0.7500, 0.0000, 0.8893)
Co (0.2500, 0.5000, 0.8767)
Co (0.7500, 0.5000, 0.1233)
Sn (0.2500, 0.0000, 0.6229)
Sn (0.7500, 0.0000, 0.3771)

Computed properties:
Total DFT energy (no corrections), eV/atom: -5.21
Crystal system: orthorhombic


16.
## AlCoSn3 (PBE)

Data for a relaxed AlCoSn3 crystal.

a = 5.2311 Å, b = 5.2311 Å, c = 5.2311 Å
α = 90.00°, β = 90.00°, γ = 90.00°
Positions (direct):
Al (0.0000, 0.0000, 0.0000)
Co (0.5000, 0.5000, 0.5000)
Sn (0.0000, 0.0000, 0.5000)
Sn (0.0000, 0.5000, 0.0000)
Sn (0.5000, 0.0000, 0.0000)

Computed properties:
Relative energy among the computed polymorphs, meV/atom: 757
Crystal system: cubic


17.
## AlCoSn (PBE)

Data for a relaxed AlCoSn crystal.

a = 2.9722 Å, b = 2.9722 Å, c = 5.8362 Å
α = 90.00°, β = 90.00°, γ = 90.00°
Positions (direct):
Al (0.0000, 0.0000, 0.0000)
Co (0.5000, 0.5000, 0.2302)
Sn (0.0000, 0.0000, 0.5232)

Computed properties:
Total DFT energy (no corrections), eV/atom: -5.12
Crystal system: tetragonal


18.
## AlCo3Sn (PBE)

Data for a relaxed AlCo3Sn crystal.

a = 4.6097 Å, b = 4.6097 Å, c = 4.6097 Å
α = 90.00°, β = 90.00°, γ = 90.00°
Positions (direct):
Al (0.0000, 0.0000, 0.0000)
Co (0.0000, 0.5000, 0.5000)
Co (0.5000, 0.0000, 0.5000)
Co (0.5000, 0.5000, 0.0000)
Sn (0.5000, 0.5000, 0.5000)

Computed properties:
Relative energy among the computed polymorphs, meV/atom: 627
Crystal system: cubic


19.
## AlCoSn (PBE)

Data for a relaxed AlCoSn crystal.

a = 4.1862 Å, b = 4.1862 Å, c = 4.1862 Å
α = 60.00°, β = 60.00°, γ = 60.00°
Positions (direct):
Al (0.0000, 0.0000, 0.0000)
Co (0.7500, 0.7500, 0.7500)
Sn (0.5000, 0.5000, 0.5000)

Computed properties:
Total DFT energy (no corrections), eV/atom: -5.15
Crystal system: cubic


20.
## AlCoSn (PBE)

Data for a relaxed AlCoSn crystal.

a = 3.1069 Å, b = 3.1069 Å, c = 12.3381 Å
α = 90.00°, β = 90.00°, γ = 120.00°
Positions (direct):
Al (0.0000, 0.0000, 0.1328)
Al (0.0000, 0.0000, 0.8672)
Co (0.0000, 0.0000, 0.5000)
Co (0.6667, 0.3333, 0.0000)
Sn (0.6667, 0.3333, 0.3420)
Sn (0.6667, 0.3333, 0.6580)

Computed properties:
Total DFT energy (no corrections), eV/atom: -4.81
Crystal system: hexagonal


21.
## AlCoSn (PBE)

Data for a relaxed AlCoSn crystal.

a = 6.8736 Å, b = 6.8736 Å, c = 6.8736 Å
α = 146.75°, β = 146.75°, γ = 47.73°
Positions (direct):
Al (0.0000, 0.5000, 0.5000)
Al (0.5000, 0.0000, 0.5000)
Co (0.1118, 0.1118, 0.0000)
Co (0.8882, 0.8882, 0.0000)
Sn (0.3195, 0.3195, 0.0000)
Sn (0.6805, 0.6805, 0.0000)

Computed properties:
Total DFT energy (no corrections), eV/atom: -5.16
Crystal system: tetragonal


22.
## AlCoSn (PBE)

Data for a relaxed AlCoSn crystal.

a = 4.3500 Å, b = 5.1010 Å, c = 5.1010 Å
α = 65.57°, β = 90.00°, γ = 90.00°
Positions (direct):
Al (0.0000, 0.0000, 0.0000)
Al (0.5000, 0.1896, 0.1896)
Co (0.5000, 0.1938, 0.7060)
Co (0.5000, 0.7060, 0.1938)
Sn (0.0000, 0.3869, 0.3869)
Sn (0.5000, 0.6983, 0.6983)

Computed properties:
Total DFT energy (no corrections), eV/atom: -5.12
Crystal system: orthorhombic